(1)
Computed, not measured: crystalline PrNdEuSc at its relaxed geometry at the PBE level of DFT.

Geometry as CIF:
```
data_PrNdEuSc
_chemical_formula_sum 'Pr4 Nd4 Eu4 Sc4'
_cell_length_a 8.116
_cell_length_b 8.116
_cell_length_c 8.116
_cell_angle_alpha 90.00
_cell_angle_beta 90.00
_cell_angle_gamma 90.00
_space_group_name_H-M_alt 'F -4 3 m'
_space_group_IT_number 216
_space_group_name_Hall 'F -4 2 3'
loop_
_atom_site_label
_atom_site_type_symbol
_atom_site_fract_x
_atom_site_fract_y
_atom_site_fract_z
Pr1 Pr 0.000 0.000 0.000
Nd1 Nd 0.000 0.000 0.500
Eu1 Eu 0.250 0.250 0.750
Sc1 Sc 0.250 0.250 0.250
```

Results
total energy = -6.398 eV/atom
DOS at the Fermi energy = 6.40 states/eV/f.u.

(2)
Computed, not measured: crystalline KNi3Te3 at its relaxed geometry at the PBE level of DFT.

Geometry as CIF:
```
data_KNi3Te3
_chemical_formula_sum 'K2 Ni6 Te6'
_cell_length_a 9.4039
_cell_length_b 9.4039
_cell_length_c 4.5088
_cell_angle_alpha 90.00
_cell_angle_beta 90.00
_cell_angle_gamma 120.00
_space_group_name_H-M_alt 'P 63/m'
_space_group_IT_number 176
_space_group_name_Hall '-P 6c'
loop_
_atom_site_label
_atom_site_type_symbol
_atom_site_fract_x
_atom_site_fract_y
_atom_site_fract_z
K1 K 0.3333 0.6667 0.2500
Ni1 Ni 0.0326 0.8449 0.2500
Te1 Te 0.0572 0.7229 0.7500
```

Results
E_form (uncorrected) = -0.329 eV per atom
DOS at the Fermi energy = 2.85 states/eV/f.u.

(3)
Computed, not measured: crystalline NaMg2AgH at its relaxed geometry at the PBE level of DFT.

Geometry as CIF:
```
data_NaMg2AgH
_chemical_formula_sum 'Na1 Mg2 Ag1 H1'
_cell_length_a 4.445
_cell_length_b 4.445
_cell_length_c 4.339
_cell_angle_alpha 90.00
_cell_angle_beta 90.00
_cell_angle_gamma 90.00
_space_group_name_H-M_alt 'P 4/m m m'
_space_group_IT_number 123
_space_group_name_Hall '-P 4 2'
loop_
_atom_site_label
_atom_site_type_symbol
_atom_site_fract_x
_atom_site_fract_y
_atom_site_fract_z
Na1 Na 0.000 0.000 0.000
Mg1 Mg 0.000 0.500 0.500
Ag1 Ag 0.500 0.500 0.000
H1 H 0.000 0.000 0.500
```

Results
total energy = -2.148 eV/atom
DOS at the Fermi energy = 1.35 states/eV/f.u.

(4)
Computed, not measured: crystalline GeBi3Os at its relaxed geometry at the PBE level of DFT.

Geometry as CIF:
```
data_GeBi3Os
_chemical_formula_sum 'Ge1 Bi3 Os1'
_cell_length_a 5.317
_cell_length_b 5.317
_cell_length_c 5.317
_cell_angle_alpha 90.00
_cell_angle_beta 90.00
_cell_angle_gamma 90.00
_space_group_name_H-M_alt 'P m -3 m'
_space_group_IT_number 221
_space_group_name_Hall '-P 4 2 3'
loop_
_atom_site_label
_atom_site_type_symbol
_atom_site_fract_x
_atom_site_fract_y
_atom_site_fract_z
Ge1 Ge 0.000 0.000 0.000
Bi1 Bi 0.000 0.500 0.500
Os1 Os 0.500 0.500 0.500
```

Results
DOS at the Fermi energy = 4.91 states/eV/f.u.
excess energy over the best structure of this formula in the dataset = 0 meV/atom

(5)
Computed, not measured: crystalline Li12PdAu6 at its relaxed geometry at the PBE level of DFT.

Geometry as CIF:
```
data_Li12PdAu6
_chemical_formula_sum 'Li36 Pd3 Au18'
_cell_length_a 9.7235
_cell_length_b 9.7235
_cell_length_c 11.5532
_cell_angle_alpha 90.00
_cell_angle_beta 90.00
_cell_angle_gamma 120.00
_space_group_name_H-M_alt 'R -3'
_space_group_IT_number 148
_space_group_name_Hall '-R 3'
loop_
_atom_site_label
_atom_site_type_symbol
_atom_site_fract_x
_atom_site_fract_y
_atom_site_fract_z
Li1 Li 0.0331 0.8412 0.3203
Li2 Li 0.0594 0.2198 0.9126
Pd1 Pd 0.0000 0.0000 0.5000
Au1 Au 0.0119 0.5836 0.2054
```

Results
total energy = -2.954 eV/atom
DOS at the Fermi energy = 6.30 states/eV/f.u.

(6)
Computed, not measured: crystalline La3Pm4Nd2 at its relaxed geometry at the PBE level of DFT.

Geometry as CIF:
```
data_La3Pm4Nd2
_chemical_formula_sum 'La3 Pm4 Nd2'
_cell_length_a 3.6770
_cell_length_b 3.6770
_cell_length_c 27.6037
_cell_angle_alpha 90.00
_cell_angle_beta 90.00
_cell_angle_gamma 120.00
_space_group_name_H-M_alt 'P 3 m 1'
_space_group_IT_number 156
loop_
_space_group_symop_operation_xyz
'x,y,z'
'-y,x-y,z'
'-x+y,-x,z'
'-y,-x,z'
'-x+y,y,z'
'x,x-y,z'
loop_
_atom_site_label
_atom_site_type_symbol
_atom_site_fract_x
_atom_site_fract_y
_atom_site_fract_z
La1 La 0.0000 0.0000 0.0000
La2 La 0.0000 0.0000 0.3375
La3 La 0.6667 0.3333 0.6682
Pm1 Pm 0.0000 0.0000 0.5565
Pm2 Pm 0.0000 0.0000 0.7793
Pm3 Pm 0.6667 0.3333 0.2311
Pm4 Pm 0.6667 0.3333 0.4513
Nd1 Nd 0.6667 0.3333 0.1074
Nd2 Nd 0.6667 0.3333 0.8856
```

Results
DOS at the Fermi energy = 15.45 states/eV/f.u.
excess energy over the best structure of this formula in the dataset = 45 meV/atom

(7)
Computed, not measured: crystalline Dy2AuSe at its relaxed geometry at the PBE level of DFT.

Geometry as CIF:
```
data_Dy2AuSe
_chemical_formula_sum 'Dy6 Au3 Se3'
_cell_length_a 3.9971
_cell_length_b 3.9971
_cell_length_c 21.8957
_cell_angle_alpha 90.00
_cell_angle_beta 90.00
_cell_angle_gamma 120.00
_space_group_name_H-M_alt 'R -3 m'
_space_group_IT_number 166
_space_group_name_Hall '-R 3 2"'
loop_
_atom_site_label
_atom_site_type_symbol
_atom_site_fract_x
_atom_site_fract_y
_atom_site_fract_z
Dy1 Dy 0.0000 0.0000 0.2502
Au1 Au 0.0000 0.0000 0.5000
Se1 Se 0.0000 0.0000 0.0000
```

Results
E_form (uncorrected) = -1.267 eV per atom
DOS at the Fermi energy = 2.67 states/eV/f.u.
excess energy over the best structure of this formula in the dataset = 55 meV/atom

(8)
Computed, not measured: crystalline AcLa12Sm7 at its relaxed geometry at the PBE level of DFT.

Geometry as CIF:
```
data_AcLa12Sm7
_chemical_formula_sum 'Ac3 La36 Sm21'
_cell_length_a 12.6401
_cell_length_b 12.6401
_cell_length_c 15.6818
_cell_angle_alpha 90.00
_cell_angle_beta 90.00
_cell_angle_gamma 120.00
_space_group_name_H-M_alt 'R -3'
_space_group_IT_number 148
_space_group_name_Hall '-R 3'
loop_
_atom_site_label
_atom_site_type_symbol
_atom_site_fract_x
_atom_site_fract_y
_atom_site_fract_z
Ac1 Ac 0.0000 0.0000 0.0000
La1 La 0.0095 0.5780 0.7150
La2 La 0.0565 0.4595 0.0867
Sm1 Sm 0.0000 0.0000 0.5000
Sm2 Sm 0.0478 0.8630 0.7999
```

Results
DOS at the Fermi energy = 37.06 states/eV/f.u.
excess energy over the best structure of this formula in the dataset = 0 meV/atom